No. 1
Material: Ir2PtBr
Method: DFT, GGA-PBEsol
State: optimized geometry

```
data_Ir2PtBr
_chemical_formula_sum 'Ir8 Pt4 Br4'
_space_group_name_H-M_alt 'F -4 3 m'
_space_group_IT_number 216
_space_group_name_Hall 'F -4 2 3'
_cell_length_a 6.3035
_cell_length_b 6.3035
_cell_length_c 6.3035
_cell_angle_alpha 90.00
_cell_angle_beta 90.00
_cell_angle_gamma 90.00
loop_
_atom_site_label
_atom_site_fract_x
_atom_site_fract_y
_atom_site_fract_z
Ir1 0.0000 0.0000 0.0000
Ir2 0.2500 0.2500 0.2500
Pt1 0.2500 0.2500 0.7500
Br1 0.0000 0.0000 0.5000
```

Values from the calculation:
For the formation energy (no corrections), the calculation gives 1.00 eV/atom.

=====

No. 2
Material: Cd2PtPb
Method: DFT, GGA-PBEsol
State: optimized geometry

```
data_Cd2PtPb
_chemical_formula_sum 'Cd4 Pt2 Pb2'
_space_group_name_H-M_alt 'I m m 2'
_space_group_IT_number 44
_cell_length_a 3.0455
_cell_length_b 4.5787
_cell_length_c 12.9248
_cell_angle_alpha 90.00
_cell_angle_beta 90.00
_cell_angle_gamma 90.00
loop_
_space_group_symop_operation_xyz
'x,y,z'
'-x,-y,z'
'-x,y,z'
'x,-y,z'
'x+1/2,y+1/2,z+1/2'
'-x+1/2,-y+1/2,z+1/2'
'-x+1/2,y+1/2,z+1/2'
'x+1/2,-y+1/2,z+1/2'
loop_
_atom_site_label
_atom_site_fract_x
_atom_site_fract_y
_atom_site_fract_z
Cd1 0.0000 0.0000 0.0000
Cd2 0.0000 0.5000 0.1740
Pt1 0.0000 0.5000 0.6817
Pb1 0.0000 0.0000 0.3735
```

Values from the calculation:
The value obtained for the formation enthalpy at 0 K is -109 meV/atom.

=====

No. 3
Material: KRb2W2
Method: DFT, GGA-PBEsol
State: optimized geometry

```
data_KRb2W2
_chemical_formula_sum 'K2 Rb4 W4'
_space_group_name_H-M_alt 'I 4/m m m'
_space_group_IT_number 139
_space_group_name_Hall '-I 4 2'
_cell_length_a 5.6505
_cell_length_b 5.6505
_cell_length_c 14.0999
_cell_angle_alpha 90.00
_cell_angle_beta 90.00
_cell_angle_gamma 90.00
loop_
_atom_site_label
_atom_site_fract_x
_atom_site_fract_y
_atom_site_fract_z
K1 0.0000 0.0000 0.0000
Rb1 0.0000 0.5000 0.2500
W1 0.0000 0.0000 0.4265
```

Values from the calculation:
The value obtained for the formation enthalpy at 0 K is 1895 meV/atom.

=====

No. 4
Material: ReMoRu
Method: DFT, GGA-PBEsol
State: optimized geometry

```
data_ReMoRu
_chemical_formula_sum 'Re4 Mo4 Ru4'
_space_group_name_H-M_alt 'F -4 3 m'
_space_group_IT_number 216
_space_group_name_Hall 'F -4 2 3'
_cell_length_a 5.8905
_cell_length_b 5.8905
_cell_length_c 5.8905
_cell_angle_alpha 90.00
_cell_angle_beta 90.00
_cell_angle_gamma 90.00
loop_
_atom_site_label
_atom_site_fract_x
_atom_site_fract_y
_atom_site_fract_z
Re1 0.0000 0.0000 0.0000
Mo1 0.2500 0.2500 0.2500
Ru1 0.2500 0.2500 0.7500
```

Values from the calculation:
The value obtained for the formation enthalpy at 0 K is 753 meV/atom.

=====

No. 5
Material: NaLa2TeF
Method: DFT, GGA-PBEsol
State: optimized geometry

```
data_NaLa2TeF
_chemical_formula_sum 'Na1 La2 Te1 F1'
_space_group_name_H-M_alt 'P 4/m m m'
_space_group_IT_number 123
_space_group_name_Hall '-P 4 2'
_cell_length_a 6.1567
_cell_length_b 6.1567
_cell_length_c 4.5875
_cell_angle_alpha 90.00
_cell_angle_beta 90.00
_cell_angle_gamma 90.00
loop_
_atom_site_label
_atom_site_fract_x
_atom_site_fract_y
_atom_site_fract_z
Na1 0.0000 0.0000 0.0000
La1 0.0000 0.5000 0.5000
Te1 0.5000 0.5000 0.5000
F1 0.5000 0.5000 0.0000
```

Values from the calculation:
For the formation energy (no corrections), the calculation gives -0.50 eV/atom.

=====

No. 6
Material: Na3VP2O9
Method: DFT, GGA-PBEsol
State: optimized geometry

```
data_Na3VP2O9
_chemical_formula_sum 'Na6 V2 P4 O18'
_space_group_name_H-M_alt 'P 1 21/m 1'
_space_group_IT_number 11
_cell_length_a 6.2284
_cell_length_b 6.3868
_cell_length_c 9.5880
_cell_angle_alpha 90.00
_cell_angle_beta 108.12
_cell_angle_gamma 90.00
loop_
_space_group_symop_operation_xyz
'x,y,z'
'-x,-y,-z'
'-x,y+1/2,-z'
'x,-y+1/2,z'
loop_
_atom_site_label
_atom_site_fract_x
_atom_site_fract_y
_atom_site_fract_z
Na1 0.0889 0.2500 0.3039
Na2 0.3881 0.0136 0.6612
V1 0.2142 0.2500 0.9215
P1 0.1564 0.7500 0.4048
P2 0.2577 0.7500 0.0023
O1 0.0857 0.7500 0.0889
O2 0.1004 0.2500 0.7031
O3 0.1462 0.7500 0.5633
O4 0.2175 0.5569 0.9006
O5 0.2740 0.5500 0.3774
O6 0.3229 0.2500 0.0993
O7 0.4942 0.7500 0.1186
```

Values from the calculation:
For the formation energy (no corrections), the calculation gives -2.23 eV/atom.

=====

No. 7
Material: RuPtCl
Method: DFT, GGA-PBEsol
State: optimized geometry

```
data_RuPtCl
_chemical_formula_sum 'Ru1 Pt1 Cl1'
_space_group_name_H-M_alt 'P 3 m 1'
_space_group_IT_number 156
_cell_length_a 3.5923
_cell_length_b 3.5923
_cell_length_c 5.1193
_cell_angle_alpha 90.00
_cell_angle_beta 90.00
_cell_angle_gamma 120.00
loop_
_space_group_symop_operation_xyz
'x,y,z'
'-y,x-y,z'
'-x+y,-x,z'
'-y,-x,z'
'-x+y,y,z'
'x,x-y,z'
loop_
_atom_site_label
_atom_site_fract_x
_atom_site_fract_y
_atom_site_fract_z
Ru1 0.0000 0.0000 0.0000
Pt1 0.3333 0.6667 0.2522
Cl1 0.6667 0.3333 0.7556
```

Values from the calculation:
For the formation energy (no corrections), the calculation gives 0.56 eV/atom.

=====

No. 8
Material: Cd2InHg2
Method: DFT, GGA-PBEsol
State: optimized geometry

```
data_Cd2InHg2
_chemical_formula_sum 'Cd4 In2 Hg4'
_space_group_name_H-M_alt 'I 4/m m m'
_space_group_IT_number 139
_space_group_name_Hall '-I 4 2'
_cell_length_a 4.1706
_cell_length_b 4.1706
_cell_length_c 13.8042
_cell_angle_alpha 90.00
_cell_angle_beta 90.00
_cell_angle_gamma 90.00
loop_
_atom_site_label
_atom_site_fract_x
_atom_site_fract_y
_atom_site_fract_z
Cd1 0.0000 0.5000 0.2500
In1 0.0000 0.0000 0.0000
Hg1 0.0000 0.0000 0.3992
```

Values from the calculation:
The value obtained for the formation enthalpy at 0 K is 49 meV/atom.

=====

No. 9
Material: Al3ZnGe
Method: DFT, GGA-PBEsol
State: optimized geometry

```
data_Al3ZnGe
_chemical_formula_sum 'Al3 Zn1 Ge1'
_space_group_name_H-M_alt 'P m -3 m'
_space_group_IT_number 221
_space_group_name_Hall '-P 4 2 3'
_cell_length_a 4.8361
_cell_length_b 4.8361
_cell_length_c 4.8361
_cell_angle_alpha 90.00
_cell_angle_beta 90.00
_cell_angle_gamma 90.00
loop_
_atom_site_label
_atom_site_fract_x
_atom_site_fract_y
_atom_site_fract_z
Al1 0.0000 0.0000 0.5000
Zn1 0.5000 0.5000 0.5000
Ge1 0.0000 0.0000 0.0000
```

Values from the calculation:
The value obtained for the formation enthalpy at 0 K is 718 meV/atom.

=====

No. 10
Material: YHg2Rh
Method: DFT, GGA-PBEsol
State: optimized geometry

```
data_YHg2Rh
_chemical_formula_sum 'Y2 Hg4 Rh2'
_space_group_name_H-M_alt 'I 4/m m m'
_space_group_IT_number 139
_space_group_name_Hall '-I 4 2'
_cell_length_a 4.2053
_cell_length_b 4.2053
_cell_length_c 8.8158
_cell_angle_alpha 90.00
_cell_angle_beta 90.00
_cell_angle_gamma 90.00
loop_
_atom_site_label
_atom_site_fract_x
_atom_site_fract_y
_atom_site_fract_z
Y1 0.0000 0.0000 0.0000
Hg1 0.0000 0.5000 0.2500
Rh1 0.0000 0.0000 0.5000
```

Values from the calculation:
The value obtained for the formation enthalpy at 0 K is -473 meV/atom.

=====

No. 11
Material: BeFeOF2
Method: DFT, GGA-PBEsol
State: optimized geometry

```
data_BeFeOF2
_chemical_formula_sum 'Be1 Fe1 O1 F2'
_space_group_name_H-M_alt 'P 4/m m m'
_space_group_IT_number 123
_space_group_name_Hall '-P 4 2'
_cell_length_a 3.9277
_cell_length_b 3.9277
_cell_length_c 3.6695
_cell_angle_alpha 90.00
_cell_angle_beta 90.00
_cell_angle_gamma 90.00
loop_
_atom_site_label
_atom_site_fract_x
_atom_site_fract_y
_atom_site_fract_z
Be1 0.0000 0.0000 0.0000
Fe1 0.5000 0.5000 0.5000
O1 0.5000 0.5000 0.0000
F1 0.0000 0.5000 0.5000
```

Values from the calculation:
For the formation energy (no corrections), the calculation gives -0.88 eV/atom.

=====

No. 12
Material: Al2TlSe
Method: DFT, GGA-PBEsol
State: optimized geometry

```
data_Al2TlSe
_chemical_formula_sum 'Al8 Tl4 Se4'
_space_group_name_H-M_alt 'I -4 2 d'
_space_group_IT_number 122
_space_group_name_Hall 'I -4 2bw'
_cell_length_a 6.1236
_cell_length_b 6.1236
_cell_length_c 11.5828
_cell_angle_alpha 90.00
_cell_angle_beta 90.00
_cell_angle_gamma 90.00
loop_
_atom_site_label
_atom_site_fract_x
_atom_site_fract_y
_atom_site_fract_z
Al1 0.2327 0.2500 0.1250
Tl1 0.0000 0.0000 0.5000
Se1 0.0000 0.0000 0.0000
```

Values from the calculation:
For the formation energy (no corrections), the calculation gives 0.06 eV/atom.

=====

Raw total energy: -6.121, -3.448, -4.264, -11.004, -4.010, -7.075, -5.823, -1.253, -3.041, -4.497, -5.292, -3.606 (eV per atom)
M_tot: 0.0, 0.0, 0.0, 0.0, 0.0, 0.0, 1.0, 0.0, 0.0, 0.0, 3.4, 0.0 (μB/f.u.)